No. 1
Density functional theory data (PBE-GGA) for a geometry-optimized P2C structure.

CIF file:
```
data_P2C
_cell_length_a 5.008
_cell_length_b 4.604
_cell_length_c 7.350
_cell_angle_alpha 90.00
_cell_angle_beta 90.00
_cell_angle_gamma 90.00
_symmetry_space_group_name_H-M 'P n m a'
_symmetry_Int_Tables_number 62
_symmetry_space_group_name_Hall '-P 2ac 2n'
loop_
_atom_site_label
_atom_site_type_symbol
_atom_site_fract_x
_atom_site_fract_y
_atom_site_fract_z
_atom_site_occupancy
P1 P 0.193 0.250 0.126 1
P2 P 0.236 0.750 0.038 1
C1 C 0.057 0.250 0.347 1
```

The density comes out at 2.90 g cm⁻³. The value obtained for the energy above the most stable polymorph in this dataset is 186 meV/atom. The value obtained for the formation enthalpy at 0 K is 617 meV/atom. As for the density of states at the Fermi level: 0.250 states/eV/atom.

No. 2
Density functional theory data (PBE-GGA) for a geometry-optimized Te2IrBr structure.

CIF file:
```
data_Te2IrBr
_cell_length_a 3.6219
_cell_length_b 3.6219
_cell_length_c 9.5294
_cell_angle_alpha 90.00
_cell_angle_beta 90.00
_cell_angle_gamma 120.00
_symmetry_space_group_name_H-M 'P 3 m 1'
_symmetry_Int_Tables_number 156
_symmetry_space_group_name_Hall 'P 3 -2"'
loop_
_atom_site_label
_atom_site_type_symbol
_atom_site_fract_x
_atom_site_fract_y
_atom_site_fract_z
_atom_site_occupancy
Te1 Te 0.0000 0.0000 0.0000 1
Te2 Te 0.3333 0.6667 0.5703 1
Ir1 Ir 0.0000 0.0000 0.7262 1
Br1 Br 0.6667 0.3333 0.3263 1
```

The calculation puts the formation energy without anion corrections at 0.143 eV per atom. The density comes out at 8.09 g cm⁻³. The value obtained for the energy above the most stable polymorph in this dataset is 407 meV/atom. As for the density of states at the Fermi level: 0.624 states/eV/atom.

No. 3
Density functional theory data (PBE-GGA) for a geometry-optimized Pr12Dy6Tl structure.

CIF file:
```
data_Pr12Dy6Tl
_cell_length_a 12.1429
_cell_length_b 12.1429
_cell_length_c 15.4763
_cell_angle_alpha 90.00
_cell_angle_beta 90.00
_cell_angle_gamma 120.00
_symmetry_space_group_name_H-M 'R -3'
_symmetry_Int_Tables_number 148
_symmetry_space_group_name_Hall '-R 3'
loop_
_atom_site_label
_atom_site_type_symbol
_atom_site_fract_x
_atom_site_fract_y
_atom_site_fract_z
_atom_site_occupancy
Pr1 Pr 0.0080 0.8301 0.3128 1
Pr2 Pr 0.0473 0.2015 0.9154 1
Dy1 Dy 0.0256 0.5903 0.1908 1
Tl1 Tl 0.0000 0.0000 0.5000 1
```

The density comes out at 7.24 g cm⁻³. The value obtained for the formation enthalpy at 0 K is 73 meV/atom. As for the density of states at the Fermi level: 1.624 states/eV/atom.

No. 4
Density functional theory data (PBE-GGA) for a geometry-optimized Pr2EuTm structure.

CIF file:
```
data_Pr2EuTm
_cell_length_a 3.698
_cell_length_b 3.698
_cell_length_c 10.407
_cell_angle_alpha 90.00
_cell_angle_beta 90.00
_cell_angle_gamma 90.00
_symmetry_space_group_name_H-M 'P 4/m m m'
_symmetry_Int_Tables_number 123
_symmetry_space_group_name_Hall '-P 4 2'
loop_
_atom_site_label
_atom_site_type_symbol
_atom_site_fract_x
_atom_site_fract_y
_atom_site_fract_z
_atom_site_occupancy
Pr1 Pr 0.000 0.000 0.234 1
Eu1 Eu 0.500 0.500 0.500 1
Tm1 Tm 0.500 0.500 0.000 1
```

The density comes out at 7.03 g cm⁻³. The value obtained for the energy above the most stable polymorph in this dataset is 4 meV/atom. The value obtained for the formation enthalpy at 0 K is 33 meV/atom. As for the density of states at the Fermi level: 1.291 states/eV/atom.

No. 5
Density functional theory data (PBE-GGA) for a geometry-optimized CrBr3 structure.

CIF file:
```
data_CrBr3
_cell_length_a 4.676
_cell_length_b 4.676
_cell_length_c 4.676
_cell_angle_alpha 90.00
_cell_angle_beta 90.00
_cell_angle_gamma 90.00
_symmetry_space_group_name_H-M 'P m -3 m'
_symmetry_Int_Tables_number 221
_symmetry_space_group_name_Hall '-P 4 2 3'
loop_
_atom_site_label
_atom_site_type_symbol
_atom_site_fract_x
_atom_site_fract_y
_atom_site_fract_z
_atom_site_occupancy
Cr1 Cr 0.000 0.000 0.000 1
Br1 Br 0.000 0.500 0.500 1
```

The calculation puts the formation energy without anion corrections at 0.448 eV per atom. The density comes out at 4.74 g cm⁻³. As for the density of states at the Fermi level: 1.457 states/eV/atom.

No. 6
Density functional theory data (PBE-GGA) for a geometry-optimized CaCd2Mo structure.

CIF file:
```
data_CaCd2Mo
_cell_length_a 4.449
_cell_length_b 4.449
_cell_length_c 20.918
_cell_angle_alpha 90.00
_cell_angle_beta 90.00
_cell_angle_gamma 90.00
_symmetry_space_group_name_H-M 'I -4 2 d'
_symmetry_Int_Tables_number 122
_symmetry_space_group_name_Hall 'I -4 2bw'
loop_
_atom_site_label
_atom_site_type_symbol
_atom_site_fract_x
_atom_site_fract_y
_atom_site_fract_z
_atom_site_occupancy
Ca1 Ca 0.000 0.000 0.000 1
Cd1 Cd 0.210 0.250 0.625 1
Mo1 Mo 0.000 0.000 0.500 1
```

The density comes out at 5.79 g cm⁻³. The value obtained for the energy above the most stable polymorph in this dataset is 467 meV/atom. The value obtained for the formation enthalpy at 0 K is 759 meV/atom. As for the density of states at the Fermi level: 0.886 states/eV/atom.

No. 7
Density functional theory data (PBE-GGA) for a geometry-optimized CoIr2Se structure.

CIF file:
```
data_CoIr2Se
_cell_length_a 3.809
_cell_length_b 2.810
_cell_length_c 10.954
_cell_angle_alpha 90.00
_cell_angle_beta 90.00
_cell_angle_gamma 90.00
_symmetry_space_group_name_H-M 'A m m 2'
_symmetry_Int_Tables_number 38
_symmetry_space_group_name_Hall 'A 2 -2'
loop_
_atom_site_label
_atom_site_type_symbol
_atom_site_fract_x
_atom_site_fract_y
_atom_site_fract_z
_atom_site_occupancy
Co1 Co 0.000 0.000 0.000 1
Ir1 Ir 0.000 0.000 0.239 1
Ir2 Ir 0.500 0.000 0.615 1
Se1 Se 0.500 0.000 0.390 1
```

The calculation puts the formation energy without anion corrections at 0.311 eV per atom. The density comes out at 14.79 g cm⁻³. As for the density of states at the Fermi level: 0.975 states/eV/atom.

No. 8
Density functional theory data (PBE-GGA) for a geometry-optimized Ti2PCl structure.

CIF file:
```
data_Ti2PCl
_cell_length_a 5.506
_cell_length_b 5.506
_cell_length_c 11.172
_cell_angle_alpha 90.00
_cell_angle_beta 90.00
_cell_angle_gamma 90.00
_symmetry_space_group_name_H-M 'I -4 2 d'
_symmetry_Int_Tables_number 122
_symmetry_space_group_name_Hall 'I -4 2bw'
loop_
_atom_site_label
_atom_site_type_symbol
_atom_site_fract_x
_atom_site_fract_y
_atom_site_fract_z
_atom_site_occupancy
Ti1 Ti 0.241 0.250 0.125 1
P1 P 0.000 0.000 0.000 1
Cl1 Cl 0.000 0.000 0.500 1
```

The calculation puts the formation energy without anion corrections at -0.415 eV per atom. The density comes out at 3.18 g cm⁻³. The value obtained for the energy above the most stable polymorph in this dataset is 280 meV/atom. As for the density of states at the Fermi level: 1.466 states/eV/atom.

No. 9
Density functional theory data (PBE-GGA) for a geometry-optimized TaCrCoP2 structure.

CIF file:
```
data_TaCrCoP2
_cell_length_a 4.706
_cell_length_b 4.706
_cell_length_c 4.535
_cell_angle_alpha 90.00
_cell_angle_beta 90.00
_cell_angle_gamma 90.00
_symmetry_space_group_name_H-M 'P 4/m m m'
_symmetry_Int_Tables_number 123
_symmetry_space_group_name_Hall '-P 4 2'
loop_
_atom_site_label
_atom_site_type_symbol
_atom_site_fract_x
_atom_site_fract_y
_atom_site_fract_z
_atom_site_occupancy
Ta1 Ta 0.000 0.000 0.000 1
Cr1 Cr 0.500 0.500 0.500 1
Co1 Co 0.000 0.000 0.500 1
P1 P 0.000 0.500 0.000 1
```

The density comes out at 5.85 g cm⁻³. The value obtained for the formation enthalpy at 0 K is 1350 meV/atom. As for the density of states at the Fermi level: 1.474 states/eV/atom.

No. 10
Density functional theory data (PBE-GGA) for a geometry-optimized LiThBeSi2 structure.

CIF file:
```
data_LiThBeSi2
_cell_length_a 4.067
_cell_length_b 4.067
_cell_length_c 10.058
_cell_angle_alpha 90.00
_cell_angle_beta 90.00
_cell_angle_gamma 90.00
_symmetry_space_group_name_H-M 'I -4 m 2'
_symmetry_Int_Tables_number 119
_symmetry_space_group_name_Hall 'I -4 -2'
loop_
_atom_site_label
_atom_site_type_symbol
_atom_site_fract_x
_atom_site_fract_y
_atom_site_fract_z
_atom_site_occupancy
Li1 Li 0.000 0.000 0.000 1
Th1 Th 0.000 0.500 0.250 1
Be1 Be 0.000 0.000 0.500 1
Si1 Si 0.000 0.500 0.629 1
```

The calculation puts the formation energy without anion corrections at -0.407 eV per atom. The density comes out at 6.07 g cm⁻³. As for the density of states at the Fermi level: 0.473 states/eV/atom.

Number 2 is which compound? Te2IrBr

What is the formula in the second record? Te2IrBr